## TlCoHgPt (PBE)

Data for TlCoHgPt after structural relaxation.

Computed properties:
Uncorrected energy = -3.62 eV per atom
Distance to the lowest polymorph of the same formula = 0 meV per atom

abc: 6.5816 6.5816 6.5816
angles: 90.00 90.00 90.00
Last column: nearest neighbours and their distance in Å.
Space group F-43m (No. 216)
Inequivalent atoms, fractional coordinates:
Tl  0.0000  0.0000  0.0000 x4  4 Co 2.85, 4 Pt 2.85
Co  0.2500  0.2500  0.2500 x4  4 Hg 2.85, 4 Tl 2.85
Hg  0.0000  0.0000  0.5000 x4  4 Co 2.85, 4 Pt 2.85
Pt  0.2500  0.2500  0.7500 x4  4 Tl 2.85, 4 Hg 2.85

## HoBeCu (PBE)

Data for HoBeCu after structural relaxation.

Computed properties:
Uncorrected energy = -3.79 eV per atom
Distance to the lowest polymorph of the same formula = 0 meV per atom

abc: 6.1123 6.1123 6.1123
angles: 90.00 90.00 90.00
Last column: nearest neighbours and their distance in Å.
Space group F-43m (No. 216)
Inequivalent atoms, fractional coordinates:
Ho  0.0000  0.0000  0.0000 x4  4 Cu 2.65
Be  0.0000  0.0000  0.5000 x4  4 Cu 2.65
Cu  0.2500  0.2500  0.7500 x4  4 Ho 2.65, 4 Be 2.65

## TlMoAuSe3 (PBE)

Data for TlMoAuSe3 after structural relaxation.

Computed properties:
Uncorrected energy = -4.60 eV per atom

abc: 3.5845 15.4038 10.2071
angles: 90.00 90.00 90.00
Last column: nearest neighbours and their distance in Å.
Space group Cmcm (No. 63)
Inequivalent atoms, fractional coordinates:
Tl  0.0000  0.2444  0.2500 x4  2 Au 3.30, 8 Se 3.41-3.50, 2 Tl 3.58
Mo  0.0000  0.0000  0.0000 x4  6 Se 2.62-2.75
Au  0.0000  0.4357  0.7500 x4  4 Se 2.53-2.70
Se  0.0000  0.0669  0.7500 x4  2 Au 2.70, 2 Mo 2.75
Se  0.0000  0.3765  0.5191 x8  1 Au 2.53, 2 Mo 2.62

## RbErMgSe3 (PBE)

Data for RbErMgSe3 after structural relaxation.

Computed properties:
Uncorrected energy = -4.48 eV per atom

abc: 9.2484 4.2358 10.2073
angles: 90.00 109.46 90.00
Last column: nearest neighbours and their distance in Å.
Space group P2_1/m (No. 11)
Inequivalent atoms, fractional coordinates:
Rb  0.2176  0.2500  0.2367 x2  7 Se 3.47-3.84
Er  0.3309  0.7500  0.8689 x2  6 Se 2.78-3.10
Mg  0.0856  0.2500  0.6119 x2  4 Se 2.52-2.64
Se  0.1182  0.2500  0.8668 x2  1 Mg 2.52
Se  0.2058  0.7500  0.5470 x2  3 Mg 2.58-2.64
Se  0.4728  0.7500  0.1558 x2  3 Er 2.78-2.85

## ScTl2Ni (PBE)

Data for ScTl2Ni after structural relaxation.

Computed properties:
Uncorrected energy = -4.05 eV per atom

abc: 6.9341 6.9341 6.9341
angles: 90.00 90.00 90.00
Last column: nearest neighbours and their distance in Å.
Space group F-43m (No. 216)
Inequivalent atoms, fractional coordinates:
Sc  0.0000  0.0000  0.0000 x4  4 Tl 3.00, 4 Ni 3.00
Tl  0.0000  0.0000  0.5000 x4  4 Tl 3.00, 4 Ni 3.00
Tl  0.2500  0.2500  0.7500 x4  4 Tl 3.00, 4 Sc 3.00
Ni  0.2500  0.2500  0.2500 x4  4 Tl 3.00, 4 Sc 3.00

## LiAl2ZnCu4 (PBE)

Data for LiAl2ZnCu4 after structural relaxation.

Computed properties:
Uncorrected energy = -3.39 eV per atom
Distance to the lowest polymorph of the same formula = 1 meV per atom

abc: 5.8332 5.8332 11.9470
angles: 90.00 90.00 90.00
Last column: nearest neighbours and their distance in Å.
Space group I4_1/amd (No. 141, origin choice 2)
Inequivalent atoms, fractional coordinates:
Li  0.0000  0.2500  0.3750 x4  8 Cu 2.53
Al  0.0000  0.2500  0.1254 x8  8 Cu 2.53-2.57
Zn  0.0000  0.2500  0.8750 x4  8 Cu 2.56
Cu  0.2450  0.0000  0.5000 x16  4 Al 2.53-2.57, 2 Li 2.53, 2 Zn 2.56